Material: BTeAsW2
Method: DFT, GGA-PBE
State: optimized geometry

Summary:
E_form (uncorrected), eV per atom: 1.608
Crystal system: tetragonal

abc: 4.8394 3.8333 4.8394
angles: 90.00 90.00 90.00
With the nearest neighbours (Å) after each atom.
Positions (direct):
As 0.0000 0.0000 0.0000  2 B 1.92
Te 0.5000 0.5000 0.5000  8 W 3.09, 4 B 3.42
B 0.0000 0.5000 0.0000  2 As 1.92
W 0.0000 0.0000 0.5000  2 As 2.42
W 0.5000 0.0000 0.0000  2 As 2.42

***

Material: ZrBTe2As
Method: DFT, GGA-PBE
State: optimized geometry

Summary:
E_form (uncorrected), eV per atom: 0.536
Crystal system: tetragonal

abc: 4.7514 4.8552 4.7514
angles: 90.00 90.00 90.00
With the nearest neighbours (Å) after each atom.
Positions (direct):
As 0.5000 0.5000 0.5000  4 Zr 3.36, 8 Te 3.40
Te 0.0000 0.0000 0.5000  2 B 2.38
Te 0.5000 0.0000 0.0000  2 B 2.38
B 0.0000 0.0000 0.0000  4 Te 2.38, 2 Zr 2.43
Zr 0.0000 0.5000 0.0000  2 B 2.43

***

Material: Th2BAs
Method: DFT, GGA-PBE
State: optimized geometry

Summary:
Crystal system: trigonal
Energy relative to the elements, meV/atom: -701

abc: 4.0705 4.0705 7.2282
angles: 73.65 73.65 60.00
With the nearest neighbours (Å) after each atom.
Positions (direct):
As 0.5000 0.5000 0.5000  6 Th 3.02
B 0.0000 0.0000 0.0000  6 Th 2.80
Th 0.2593 0.2593 0.2222  3 B 2.80, 3 As 3.02
Th 0.7407 0.7407 0.7778  3 B 2.80, 3 As 3.02

***

Material: Ti4BAs
Method: DFT, GGA-PBE
State: optimized geometry

Summary:
Crystal system: monoclinic
Energy relative to the elements, meV/atom: -354

abc: 5.6696 5.7543 5.8468
angles: 90.00 89.50 90.00
With the nearest neighbours (Å) after each atom.
Positions (direct):
Ti 0.8772 0.6270 0.1718  1 B 2.17
Ti 0.6228 0.1270 0.8282  1 B 2.17
Ti 0.3381 0.3395 0.3780  2 B 2.24-2.28
Ti 0.1619 0.8395 0.6220  2 B 2.24-2.28
Ti 0.1228 0.3730 0.8282  1 B 2.17
Ti 0.3772 0.8730 0.1718  1 B 2.17
Ti 0.6619 0.6605 0.6220  2 B 2.24-2.28
Ti 0.8381 0.1605 0.3780  2 B 2.24-2.28
B 0.5000 0.0000 0.5000  6 Ti 2.17-2.28
B 0.0000 0.5000 0.5000  6 Ti 2.17-2.28
As 0.0000 0.0000 0.0000  6 Ti 2.47-2.56
As 0.5000 0.5000 0.0000  6 Ti 2.47-2.56

***

Computed volume, in the same sequence as the records: 17.96; 21.92; 24.52; 15.89 Å³/atom.